Run P
Compound: Sm2TmSc
Source: Alexandria
Functional: GGA-PBE
Structure: relaxed

CIF file:
```
data_Sm2TmSc
_cell_length_a 5.579
_cell_length_b 7.162
_cell_length_c 6.158
_cell_angle_alpha 90.00
_cell_angle_beta 90.00
_cell_angle_gamma 90.00
_symmetry_space_group_name_H-M 'P m m n'
_symmetry_Int_Tables_number 59
loop_
_symmetry_equiv_pos_as_xyz
'x,y,z'
'-x,-y,-z'
'-x+1/2,-y+1/2,z'
'x+1/2,y+1/2,-z'
'x+1/2,-y,-z'
'-x+1/2,y,z'
'-x,y+1/2,-z'
'x,-y+1/2,z'
loop_
_atom_site_label
_atom_site_type_symbol
_atom_site_fract_x
_atom_site_fract_y
_atom_site_fract_z
Sm1 Sm 0.250 0.002 0.172
Tm1 Tm 0.250 0.250 0.659
Sc1 Sc 0.250 0.750 0.665
```


Run Q
Compound: Sm2TmSc
Source: Alexandria
Functional: GGA-PBE
Structure: relaxed

CIF file:
```
data_Sm2TmSc
_cell_length_a 3.558
_cell_length_b 3.558
_cell_length_c 9.590
_cell_angle_alpha 90.00
_cell_angle_beta 90.00
_cell_angle_gamma 90.00
_symmetry_space_group_name_H-M 'P 4/m m m'
_symmetry_Int_Tables_number 123
_symmetry_space_group_name_Hall '-P 4 2'
loop_
_atom_site_label
_atom_site_type_symbol
_atom_site_fract_x
_atom_site_fract_y
_atom_site_fract_z
Sm1 Sm 0.000 0.000 0.240
Tm1 Tm 0.500 0.500 0.500
Sc1 Sc 0.500 0.500 0.000
```


In eV/atom, relative to the most stable structure: run P 0.000; run Q 0.010.


Run P
Compound: Sm2TmSc
Source: Alexandria
Functional: GGA-PBE
Structure: relaxed

CIF file:
```
data_Sm2TmSc
_cell_length_a 7.874
_cell_length_b 7.874
_cell_length_c 7.874
_cell_angle_alpha 90.00
_cell_angle_beta 90.00
_cell_angle_gamma 90.00
_symmetry_space_group_name_H-M 'F m -3 m'
_symmetry_Int_Tables_number 225
_symmetry_space_group_name_Hall '-F 4 2 3'
loop_
_atom_site_label
_atom_site_type_symbol
_atom_site_fract_x
_atom_site_fract_y
_atom_site_fract_z
Sm1 Sm 0.250 0.250 0.250
Tm1 Tm 0.000 0.000 0.000
Sc1 Sc 0.000 0.000 0.500
```


Run Q
Compound: Sm2TmSc
Source: Alexandria
Functional: GGA-PBE
Structure: relaxed

CIF file:
```
data_Sm2TmSc
_cell_length_a 3.5315
_cell_length_b 3.5315
_cell_length_c 33.7818
_cell_angle_alpha 90.00
_cell_angle_beta 90.00
_cell_angle_gamma 120.00
_symmetry_space_group_name_H-M 'R 3 m'
_symmetry_Int_Tables_number 160
_symmetry_space_group_name_Hall 'R 3 -2"'
loop_
_atom_site_label
_atom_site_type_symbol
_atom_site_fract_x
_atom_site_fract_y
_atom_site_fract_z
Sm1 Sm 0.0000 0.0000 0.0000
Sm2 Sm 0.0000 0.0000 0.1708
Tm1 Tm 0.0000 0.0000 0.4184
Sc1 Sc 0.0000 0.0000 0.5857
```


In eV/atom, relative to the most stable structure: run P 0.049; run Q 0.000.


Run P
Compound: SmTm4Sc2
Source: Alexandria
Functional: GGA-PBE
Structure: relaxed

CIF file:
```
data_SmTm4Sc2
_cell_length_a 5.476
_cell_length_b 5.476
_cell_length_c 15.753
_cell_angle_alpha 90.00
_cell_angle_beta 90.00
_cell_angle_gamma 90.00
_symmetry_space_group_name_H-M 'I 4/m m m'
_symmetry_Int_Tables_number 139
_symmetry_space_group_name_Hall '-I 4 2'
loop_
_atom_site_label
_atom_site_type_symbol
_atom_site_fract_x
_atom_site_fract_y
_atom_site_fract_z
Sm1 Sm 0.000 0.000 0.000
Tm1 Tm 0.000 0.000 0.186
Tm2 Tm 0.000 0.500 0.000
Sc1 Sc 0.000 0.000 0.393
```


Run Q
Compound: SmTm4Sc2
Source: Alexandria
Functional: GGA-PBE
Structure: relaxed

CIF file:
```
data_SmTm4Sc2
_cell_length_a 6.871
_cell_length_b 8.279
_cell_length_c 8.486
_cell_angle_alpha 114.27
_cell_angle_beta 101.77
_cell_angle_gamma 101.99
_symmetry_space_group_name_H-M 'P 1'
_symmetry_Int_Tables_number 1
loop_
_symmetry_equiv_pos_as_xyz
'x,y,z'
loop_
_atom_site_label
_atom_site_type_symbol
_atom_site_fract_x
_atom_site_fract_y
_atom_site_fract_z
Sm1 Sm 0.000 0.000 0.000
Sm2 Sm 0.086 0.767 0.579
Tm1 Tm 0.200 0.336 0.458
Tm2 Tm 0.303 0.885 0.293
Tm3 Tm 0.395 0.444 0.124
Tm4 Tm 0.500 0.999 0.990
Tm5 Tm 0.612 0.594 0.854
Tm6 Tm 0.698 0.332 0.455
Tm7 Tm 0.890 0.440 0.115
Tm8 Tm 0.972 0.175 0.713
Sc1 Sc 0.116 0.595 0.859
Sc2 Sc 0.478 0.177 0.720
Sc3 Sc 0.592 0.777 0.583
Sc4 Sc 0.792 0.882 0.287
```


In eV/atom, relative to the most stable structure: run P 0.733; run Q 0.000.


Run P
Compound: SmTm8Sc6
Source: Alexandria
Functional: GGA-PBE
Structure: relaxed

CIF file:
```
data_SmTm8Sc6
_cell_length_a 9.2602
_cell_length_b 9.2602
_cell_length_c 17.2643
_cell_angle_alpha 90.00
_cell_angle_beta 90.00
_cell_angle_gamma 120.00
_symmetry_space_group_name_H-M 'R -3'
_symmetry_Int_Tables_number 148
_symmetry_space_group_name_Hall '-R 3'
loop_
_atom_site_label
_atom_site_type_symbol
_atom_site_fract_x
_atom_site_fract_y
_atom_site_fract_z
Sm1 Sm 0.0000 0.0000 0.0000
Tm1 Tm 0.0000 0.0000 0.4109
Tm2 Tm 0.0536 0.8099 0.1741
Sc1 Sc 0.0298 0.7399 0.6803
```


Run Q
Compound: SmTm8Sc6
Source: Alexandria
Functional: GGA-PBE
Structure: relaxed

CIF file:
```
data_SmTm8Sc6
_cell_length_a 8.3901
_cell_length_b 8.3901
_cell_length_c 21.1509
_cell_angle_alpha 90.00
_cell_angle_beta 90.00
_cell_angle_gamma 120.00
_symmetry_space_group_name_H-M 'R -3'
_symmetry_Int_Tables_number 148
_symmetry_space_group_name_Hall '-R 3'
loop_
_atom_site_label
_atom_site_type_symbol
_atom_site_fract_x
_atom_site_fract_y
_atom_site_fract_z
Sm1 Sm 0.0000 0.0000 0.0000
Tm1 Tm 0.0000 0.0000 0.4165
Tm2 Tm 0.0520 0.2571 0.1346
Sc1 Sc 0.0056 0.7784 0.7112
```


In eV/atom, relative to the most stable structure: run P 0.013; run Q 0.000.


Run P
Compound: SmTmSc6
Source: Alexandria
Functional: GGA-PBE
Structure: relaxed

CIF file:
```
data_SmTmSc6
_cell_length_a 6.7817
_cell_length_b 6.7817
_cell_length_c 5.3025
_cell_angle_alpha 90.00
_cell_angle_beta 90.00
_cell_angle_gamma 120.00
_symmetry_space_group_name_H-M 'P -6 m 2'
_symmetry_Int_Tables_number 187
_symmetry_space_group_name_Hall 'P -6 2'
loop_
_atom_site_label
_atom_site_type_symbol
_atom_site_fract_x
_atom_site_fract_y
_atom_site_fract_z
Sm1 Sm 0.0000 0.0000 0.0000
Tm1 Tm 0.6667 0.3333 0.5000
Sc1 Sc 0.0068 0.5034 0.0000
Sc2 Sc 0.1707 0.3413 0.5000
```


Run Q
Compound: SmTmSc6
Source: Alexandria
Functional: GGA-PBE
Structure: relaxed

CIF file:
```
data_SmTmSc6
_cell_length_a 6.677
_cell_length_b 6.677
_cell_length_c 4.698
_cell_angle_alpha 90.00
_cell_angle_beta 90.00
_cell_angle_gamma 90.00
_symmetry_space_group_name_H-M 'P 4/m m m'
_symmetry_Int_Tables_number 123
_symmetry_space_group_name_Hall '-P 4 2'
loop_
_atom_site_label
_atom_site_type_symbol
_atom_site_fract_x
_atom_site_fract_y
_atom_site_fract_z
Sm1 Sm 0.000 0.000 0.000
Tm1 Tm 0.500 0.500 0.000
Sc1 Sc 0.000 0.500 0.000
Sc2 Sc 0.251 0.251 0.500
```


In eV/atom, relative to the most stable structure: run P 0.000; run Q 0.036.


Run P
Compound: Sm2Tm5Sc2
Source: Alexandria
Functional: GGA-PBE
Structure: relaxed

CIF file:
```
data_Sm2Tm5Sc2
_cell_length_a 6.003
_cell_length_b 6.006
_cell_length_c 9.171
_cell_angle_alpha 90.04
_cell_angle_beta 109.10
_cell_angle_gamma 119.86
_symmetry_space_group_name_H-M 'P -1'
_symmetry_Int_Tables_number 2
loop_
_symmetry_equiv_pos_as_xyz
'x,y,z'
'-x,-y,-z'
loop_
_atom_site_label
_atom_site_type_symbol
_atom_site_fract_x
_atom_site_fract_y
_atom_site_fract_z
Sm1 Sm 0.164 0.335 0.000
Tm1 Tm 0.060 0.112 0.338
Tm2 Tm 0.277 0.557 0.662
Tm3 Tm 0.500 0.000 0.000
Sc1 Sc 0.393 0.782 0.339
```


Run Q
Compound: Sm2Tm5Sc2
Source: Alexandria
Functional: GGA-PBE
Structure: relaxed

CIF file:
```
data_Sm2Tm5Sc2
_cell_length_a 15.053
_cell_length_b 12.442
_cell_length_c 5.859
_cell_angle_alpha 90.00
_cell_angle_beta 90.00
_cell_angle_gamma 90.00
_symmetry_space_group_name_H-M 'I m a 2'
_symmetry_Int_Tables_number 46
loop_
_symmetry_equiv_pos_as_xyz
'x,y,z'
'-x,-y,z'
'-x+1/2,y,z'
'x+1/2,-y,z'
'x+1/2,y+1/2,z+1/2'
'-x+1/2,-y+1/2,z+1/2'
'-x,y+1/2,z+1/2'
'x,-y+1/2,z+1/2'
loop_
_atom_site_label
_atom_site_type_symbol
_atom_site_fract_x
_atom_site_fract_y
_atom_site_fract_z
Sm1 Sm 0.000 0.000 0.000
Sm2 Sm 0.250 0.046 0.133
Tm1 Tm 0.042 0.181 0.458
Tm2 Tm 0.142 0.692 0.620
Tm3 Tm 0.250 0.185 0.669
Sc1 Sc 0.146 0.550 0.103
```


In eV/atom, relative to the most stable structure: run P 0.000; run Q 0.150.


Run P
Compound: Sm3TmSc2
Source: Alexandria
Functional: GGA-PBE
Structure: relaxed

CIF file:
```
data_Sm3TmSc2
_cell_length_a 17.059
_cell_length_b 6.997
_cell_length_c 6.008
_cell_angle_alpha 90.00
_cell_angle_beta 90.68
_cell_angle_gamma 90.00
_symmetry_space_group_name_H-M 'C 1 2/c 1'
_symmetry_Int_Tables_number 15
loop_
_symmetry_equiv_pos_as_xyz
'x,y,z'
'-x,-y,-z'
'-x,y,-z+1/2'
'x,-y,z+1/2'
'x+1/2,y+1/2,z'
'-x+1/2,-y+1/2,-z'
'-x+1/2,y+1/2,-z+1/2'
'x+1/2,-y+1/2,z+1/2'
loop_
_atom_site_label
_atom_site_type_symbol
_atom_site_fract_x
_atom_site_fract_y
_atom_site_fract_z
Sm1 Sm 0.000 0.123 0.250
Sm2 Sm 0.169 0.374 0.414
Tm1 Tm 0.000 0.373 0.750
Sc1 Sc 0.167 0.124 0.919
```


Run Q
Compound: Sm3TmSc2
Source: Alexandria
Functional: GGA-PBE
Structure: relaxed

CIF file:
```
data_Sm3TmSc2
_cell_length_a 14.455
_cell_length_b 9.682
_cell_length_c 5.489
_cell_angle_alpha 90.00
_cell_angle_beta 90.00
_cell_angle_gamma 90.00
_symmetry_space_group_name_H-M 'C m c m'
_symmetry_Int_Tables_number 63
_symmetry_space_group_name_Hall '-C 2c 2'
loop_
_atom_site_label
_atom_site_type_symbol
_atom_site_fract_x
_atom_site_fract_y
_atom_site_fract_z
Sm1 Sm 0.000 0.092 0.250
Sm2 Sm 0.246 0.134 0.250
Tm1 Tm 0.000 0.280 0.750
Sc1 Sc 0.104 0.405 0.250
```


In eV/atom, relative to the most stable structure: run P 0.000; run Q 0.224.


Run P
Compound: SmTm5Sc2
Source: Alexandria
Functional: GGA-PBE
Structure: relaxed

CIF file:
```
data_SmTm5Sc2
_cell_length_a 7.049
_cell_length_b 10.937
_cell_length_c 12.174
_cell_angle_alpha 90.00
_cell_angle_beta 90.00
_cell_angle_gamma 90.00
_symmetry_space_group_name_H-M 'F m m 2'
_symmetry_Int_Tables_number 42
_symmetry_space_group_name_Hall 'F 2 -2'
loop_
_atom_site_label
_atom_site_type_symbol
_atom_site_fract_x
_atom_site_fract_y
_atom_site_fract_z
Sm1 Sm 0.000 0.000 0.000
Tm1 Tm 0.000 0.000 0.499
Tm2 Tm 0.250 0.000 0.246
Tm3 Tm 0.250 0.250 0.415
Sc1 Sc 0.000 0.249 0.664
```


Run Q
Compound: SmTm5Sc2
Source: Alexandria
Functional: GGA-PBE
Structure: relaxed

CIF file:
```
data_SmTm5Sc2
_cell_length_a 6.875
_cell_length_b 6.875
_cell_length_c 9.798
_cell_angle_alpha 90.00
_cell_angle_beta 90.00
_cell_angle_gamma 90.00
_symmetry_space_group_name_H-M 'I 4/m m m'
_symmetry_Int_Tables_number 139
_symmetry_space_group_name_Hall '-I 4 2'
loop_
_atom_site_label
_atom_site_type_symbol
_atom_site_fract_x
_atom_site_fract_y
_atom_site_fract_z
Sm1 Sm 0.000 0.000 0.000
Tm1 Tm 0.000 0.000 0.500
Tm2 Tm 0.250 0.250 0.250
Sc1 Sc 0.000 0.500 0.000
```


In eV/atom, relative to the most stable structure: run P 0.000; run Q 0.023.